Record 1
# Pm2AlIr

A geometry-optimized Pm2AlIr structure (GGA-PBE, the Alexandria database).

a = 4.389 Å, b = 4.843 Å, c = 6.011 Å
α = 113.77°, β = 111.34°, γ = 90.00°
Sites, in units of the cell vectors:
Al (0.500, 0.509, 0.000)
Ir (0.500, 0.009, 0.000)
Pm (0.176, 0.185, 0.351)
Pm (0.824, 0.833, 0.649)

Its space-group type is C2/m, No. 12. For the energy above the lowest structure with this stoichiometry, the calculation gives 0.126 eV/atom. Its formation energy is -472 meV per atom.


Record 2
# Pm6Ho3Tl

A geometry-optimized Pm6Ho3Tl structure (GGA-PBE, the Alexandria database).

a = 3.552 Å, b = 12.893 Å, c = 14.464 Å
α = 100.56°, β = 90.00°, γ = 90.00°
Sites, in units of the cell vectors:
Ho (0.750, 0.421, 0.904)
Ho (0.750, 0.072, 0.105)
Ho (0.750, 0.630, 0.501)
Ho (0.250, 0.579, 0.096)
Ho (0.250, 0.928, 0.895)
Ho (0.250, 0.370, 0.499)
Pm (0.750, 0.112, 0.465)
Pm (0.750, 0.489, 0.691)
Pm (0.250, 0.247, 0.697)
Pm (0.750, 0.810, 0.072)
Pm (0.250, 0.888, 0.535)
Pm (0.750, 0.769, 0.714)
Pm (0.250, 0.231, 0.286)
Pm (0.750, 0.342, 0.117)
Pm (0.250, 0.511, 0.309)
Pm (0.250, 0.190, 0.928)
Pm (0.750, 0.753, 0.303)
Pm (0.250, 0.658, 0.883)
Tl (0.750, 0.031, 0.728)
Tl (0.250, 0.969, 0.272)

Its space-group type is P2_1/m, No. 11. For the energy above the lowest structure with this stoichiometry, the calculation gives 0.000 eV/atom. Its formation energy is 11 meV per atom.


Record 3
# CdGa3Te

A geometry-optimized CdGa3Te structure (GGA-PBE, the Alexandria database).

a = 5.194 Å, b = 5.194 Å, c = 5.194 Å
α = 90.00°, β = 90.00°, γ = 90.00°
Sites, in units of the cell vectors:
Ga (0.000, 0.500, 0.000)
Ga (0.500, 0.000, 0.000)
Ga (0.000, 0.000, 0.500)
Te (0.500, 0.500, 0.500)
Cd (0.000, 0.000, 0.000)

Its space-group type is Pm-3m, No. 221. As for the formation energy (no corrections): 0.243 eV/atom. For the energy above the lowest structure with this stoichiometry, the calculation gives 0.000 eV/atom.


Record 4
# SmErPI

A geometry-optimized SmErPI structure (GGA-PBE, the Alexandria database).

a = 4.079 Å, b = 4.079 Å, c = 7.838 Å
α = 90.00°, β = 105.09°, γ = 120.00°
Sites, in units of the cell vectors:
Sm (0.507, 0.152, 0.674)
Er (0.096, 0.946, 0.057)
P (0.313, 0.554, 0.882)
I (0.962, 0.379, 0.356)

Its space-group type is R3m, No. 160. As for the formation energy (no corrections): -1.313 eV/atom.


Record 5
# PuHf2Ga9

A geometry-optimized PuHf2Ga9 structure (GGA-PBE, the Alexandria database).

a = 4.171 Å, b = 4.171 Å, c = 12.458 Å
α = 90.00°, β = 90.00°, γ = 90.00°
Sites, in units of the cell vectors:
Ga (0.000, 0.500, 0.173)
Ga (0.500, 0.500, 0.000)
Ga (0.000, 0.500, 0.827)
Ga (0.000, 0.500, 0.500)
Ga (0.500, 0.000, 0.173)
Ga (0.500, 0.000, 0.500)
Ga (0.500, 0.500, 0.334)
Ga (0.500, 0.500, 0.666)
Ga (0.500, 0.000, 0.827)
Pu (0.000, 0.000, 0.000)
Hf (0.000, 0.000, 0.660)
Hf (0.000, 0.000, 0.340)

Its space-group type is P4/mmm, No. 123. Its formation energy is -383 meV per atom.


Record 6
# TlZnIn2

A geometry-optimized TlZnIn2 structure (GGA-PBE, the Alexandria database).

a = 4.627 Å, b = 3.505 Å, c = 6.640 Å
α = 73.87°, β = 90.00°, γ = 90.00°
Sites, in units of the cell vectors:
Zn (0.500, 0.750, 0.750)
In (0.000, 0.577, 0.524)
In (0.000, 0.923, 0.976)
Tl (0.500, 0.250, 0.250)

Its space-group type is P2/m, No. 10. Its formation energy is 95 meV per atom.


Record 7
# Sr2Sn4Ge

A geometry-optimized Sr2Sn4Ge structure (GGA-PBE, the Alexandria database).

a = 6.079 Å, b = 6.860 Å, c = 10.571 Å
α = 90.00°, β = 102.67°, γ = 90.00°
Sites, in units of the cell vectors:
Sn (0.385, 0.498, 0.710)
Sn (0.615, 0.998, 0.290)
Sn (0.241, 0.250, 0.355)
Sn (0.247, 0.750, 0.130)
Sn (0.753, 0.250, 0.870)
Sn (0.615, 0.502, 0.290)
Sn (0.759, 0.750, 0.645)
Sn (0.385, 0.002, 0.710)
Sr (0.709, 0.750, 0.994)
Sr (0.878, 0.250, 0.574)
Sr (0.122, 0.750, 0.426)
Sr (0.291, 0.250, 0.006)
Ge (0.847, 0.250, 0.144)
Ge (0.153, 0.750, 0.856)

Its space-group type is P2_1/m, No. 11. Its formation energy is -379 meV per atom.


Record 8
# AlHgSeCl

A geometry-optimized AlHgSeCl structure (GGA-PBE, the Alexandria database).

a = 3.808 Å, b = 3.808 Å, c = 10.876 Å
α = 99.44°, β = 90.00°, γ = 120.00°
Sites, in units of the cell vectors:
Se (0.980, 0.959, 0.610)
Al (0.614, 0.228, 0.507)
Hg (0.420, 0.841, 0.949)
Cl (0.553, 0.106, 0.311)

Its space-group type is Cm, No. 8. As for the formation energy (no corrections): -0.851 eV/atom.


Record 9
# ScHgB

A geometry-optimized ScHgB structure (GGA-PBE, the Alexandria database).

a = 6.204 Å, b = 3.399 Å, c = 6.204 Å
α = 105.81°, β = 116.55°, γ = 74.21°
Sites, in units of the cell vectors:
Hg (0.105, 0.553, 0.412)
Hg (0.661, 0.500, 0.856)
B (0.437, 0.721, 0.081)
B (0.281, 0.876, 0.237)
Sc (0.645, 0.259, 0.366)
Sc (0.152, 0.259, 0.873)

Its space-group type is Cm, No. 8. For the energy above the lowest structure with this stoichiometry, the calculation gives 0.464 eV/atom. Its formation energy is -48 meV per atom.


Record 10
# Sc12AlNi6

A geometry-optimized Sc12AlNi6 structure (GGA-PBE, the Alexandria database).

a = 7.806 Å, b = 7.806 Å, c = 7.806 Å
α = 109.47°, β = 109.47°, γ = 109.47°
Sites, in units of the cell vectors:
Sc (0.187, 0.705, 0.892)
Sc (0.295, 0.108, 0.813)
Sc (0.187, 0.295, 0.482)
Sc (0.518, 0.813, 0.705)
Sc (0.482, 0.187, 0.295)
Sc (0.813, 0.295, 0.108)
Sc (0.813, 0.705, 0.518)
Sc (0.705, 0.518, 0.813)
Sc (0.108, 0.813, 0.295)
Sc (0.705, 0.892, 0.187)
Sc (0.892, 0.187, 0.705)
Sc (0.295, 0.482, 0.187)
Ni (0.632, 0.500, 0.132)
Ni (0.500, 0.132, 0.632)
Ni (0.500, 0.868, 0.368)
Ni (0.368, 0.500, 0.868)
Ni (0.132, 0.632, 0.500)
Ni (0.868, 0.368, 0.500)
Al (0.000, 0.000, 0.000)

Its space-group type is Im-3, No. 204. Its formation energy is -373 meV per atom.


Record 11
# AgH

A geometry-optimized AgH structure (GGA-PBE, the Alexandria database).

a = 6.035 Å, b = 6.035 Å, c = 6.035 Å
α = 90.00°, β = 90.00°, γ = 90.00°
Sites, in units of the cell vectors:
Ag (0.179, 0.179, 0.821)
Ag (0.321, 0.679, 0.679)
Ag (0.321, 0.321, 0.321)
Ag (0.179, 0.821, 0.179)
Ag (0.679, 0.321, 0.679)
Ag (0.679, 0.679, 0.321)
Ag (0.821, 0.821, 0.821)
Ag (0.821, 0.179, 0.179)
H (0.348, 0.652, 0.348)
H (0.152, 0.152, 0.152)
H (0.848, 0.152, 0.848)
H (0.152, 0.848, 0.848)
H (0.848, 0.848, 0.152)
H (0.348, 0.348, 0.652)
H (0.652, 0.652, 0.652)
H (0.652, 0.348, 0.348)

Its space-group type is I-43m, No. 217. For the energy above the lowest structure with this stoichiometry, the calculation gives 0.055 eV/atom.


Record 12
# LaNbPb3

A geometry-optimized LaNbPb3 structure (GGA-PBE, the Alexandria database).

a = 5.892 Å, b = 5.892 Å, c = 5.892 Å
α = 90.00°, β = 90.00°, γ = 90.00°
Sites, in units of the cell vectors:
Pb (0.000, 0.000, 0.500)
Pb (0.000, 0.500, 0.000)
Pb (0.500, 0.000, 0.000)
Nb (0.500, 0.500, 0.500)
La (0.000, 0.000, 0.000)

Its space-group type is Pm-3m, No. 221. For the energy above the lowest structure with this stoichiometry, the calculation gives 1.393 eV/atom. Its formation energy is 1578 meV per atom.


Record 13
# RbSr4F2

A geometry-optimized RbSr4F2 structure (GGA-PBE, the Alexandria database).

a = 6.749 Å, b = 6.749 Å, c = 8.831 Å
α = 67.54°, β = 67.54°, γ = 90.00°
Sites, in units of the cell vectors:
Sr (0.500, 0.000, 0.000)
Sr (0.731, 0.731, 0.539)
Sr (0.269, 0.269, 0.461)
Sr (0.000, 0.500, 0.000)
F (0.585, 0.585, 0.829)
F (0.415, 0.415, 0.171)
Rb (0.000, 0.000, 0.000)

Its space-group type is I4/mmm, No. 139. As for the formation energy (no corrections): -0.866 eV/atom.


Record 14
# GaAg2Bi

A geometry-optimized GaAg2Bi structure (GGA-PBE, the Alexandria database).

a = 4.530 Å, b = 4.530 Å, c = 5.762 Å
α = 66.86°, β = 66.86°, γ = 60.00°
Sites, in units of the cell vectors:
Ga (0.681, 0.681, 0.958)
Ag (0.275, 0.275, 0.175)
Ag (0.056, 0.056, 0.831)
Bi (0.488, 0.488, 0.536)

Its space-group type is R3m, No. 160. For the energy above the lowest structure with this stoichiometry, the calculation gives 0.031 eV/atom. Its formation energy is 109 meV per atom.


Record 15
# KYFe2

A geometry-optimized KYFe2 structure (GGA-PBE, the Alexandria database).

a = 7.580 Å, b = 7.580 Å, c = 7.580 Å
α = 154.27°, β = 144.62°, γ = 44.25°
Sites, in units of the cell vectors:
Fe (0.895, 0.895, 0.000)
Fe (0.785, 0.285, 0.500)
K (0.545, 0.545, 0.000)
Y (0.276, 0.776, 0.500)

Its space-group type is Imm2, No. 44. For the energy above the lowest structure with this stoichiometry, the calculation gives 0.149 eV/atom. Its formation energy is 579 meV per atom.


Record 16
# Rb2MgCd2

A geometry-optimized Rb2MgCd2 structure (GGA-PBE, the Alexandria database).

a = 5.549 Å, b = 5.549 Å, c = 8.574 Å
α = 71.12°, β = 71.12°, γ = 90.00°
Sites, in units of the cell vectors:
Cd (0.592, 0.592, 0.816)
Cd (0.408, 0.408, 0.184)
Mg (0.000, 0.000, 0.000)
Rb (0.250, 0.750, 0.500)
Rb (0.750, 0.250, 0.500)

Its space-group type is I4/mmm, No. 139. For the energy above the lowest structure with this stoichiometry, the calculation gives 0.329 eV/atom. Its formation energy is 288 meV per atom.


Record 17
# Sr2LiZnPd

A geometry-optimized Sr2LiZnPd structure (GGA-PBE, the Alexandria database).

a = 5.864 Å, b = 5.864 Å, c = 4.798 Å
α = 90.00°, β = 90.00°, γ = 90.00°
Sites, in units of the cell vectors:
Zn (0.500, 0.500, 0.500)
Pd (0.000, 0.000, 0.000)
Li (0.000, 0.000, 0.500)
Sr (0.000, 0.500, 0.000)
Sr (0.500, 0.000, 0.000)

Its space-group type is P4/mmm, No. 123. For the energy above the lowest structure with this stoichiometry, the calculation gives 0.047 eV/atom. Its formation energy is -154 meV per atom.


Record 18
# BaHoSb2Au2

A geometry-optimized BaHoSb2Au2 structure (GGA-PBE, the Alexandria database).

a = 4.748 Å, b = 4.748 Å, c = 8.598 Å
α = 90.00°, β = 90.00°, γ = 120.00°
Sites, in units of the cell vectors:
Au (0.333, 0.667, 0.325)
Au (0.667, 0.333, 0.675)
Ho (0.000, 0.000, 0.500)
Ba (0.000, 0.000, 0.000)
Sb (0.667, 0.333, 0.267)
Sb (0.333, 0.667, 0.733)

Its space-group type is P-3m1, No. 164. As for the formation energy (no corrections): -0.831 eV/atom.


Record 19
# Ce2GaHgIr

A geometry-optimized Ce2GaHgIr structure (GGA-PBE, the Alexandria database).

a = 4.400 Å, b = 7.454 Å, c = 7.683 Å
α = 108.63°, β = 90.00°, γ = 90.00°
Sites, in units of the cell vectors:
Hg (0.750, 0.314, 0.662)
Hg (0.250, 0.686, 0.338)
Ir (0.250, 0.878, 0.903)
Ir (0.750, 0.122, 0.097)
Ga (0.250, 0.549, 0.669)
Ga (0.750, 0.451, 0.331)
Ce (0.750, 0.710, 0.035)
Ce (0.250, 0.290, 0.965)
Ce (0.750, 0.874, 0.658)
Ce (0.250, 0.126, 0.342)

Its space-group type is P2_1/m, No. 11. Its formation energy is -551 meV per atom.


Record 20
# Sr8Zn2Rh

A geometry-optimized Sr8Zn2Rh structure (GGA-PBE, the Alexandria database).

a = 5.754 Å, b = 7.531 Å, c = 10.464 Å
α = 105.27°, β = 105.96°, γ = 90.00°
Sites, in units of the cell vectors:
Sr (0.653, 0.961, 0.306)
Sr (0.968, 0.197, 0.936)
Sr (0.587, 0.409, 0.175)
Sr (0.032, 0.803, 0.064)
Sr (0.212, 0.315, 0.423)
Sr (0.413, 0.591, 0.825)
Sr (0.788, 0.685, 0.577)
Sr (0.347, 0.039, 0.694)
Rh (0.500, 0.000, 0.000)
Zn (0.189, 0.734, 0.379)
Zn (0.811, 0.266, 0.621)

Its space-group type is C2/m, No. 12. For the energy above the lowest structure with this stoichiometry, the calculation gives 0.028 eV/atom. Its formation energy is -77 meV per atom.


Record 21
# Ta2VB

A geometry-optimized Ta2VB structure (GGA-PBE, the Alexandria database).

a = 4.305 Å, b = 4.305 Å, c = 4.305 Å
α = 60.00°, β = 60.00°, γ = 60.00°
Sites, in units of the cell vectors:
V (0.500, 0.500, 0.500)
Ta (0.250, 0.250, 0.250)
Ta (0.750, 0.750, 0.750)
B (0.000, 0.000, 0.000)

Its space-group type is Fm-3m, No. 225. For the energy above the lowest structure with this stoichiometry, the calculation gives 0.048 eV/atom. Its formation energy is 343 meV per atom.


Record 22
# LiCaAlZn2

A geometry-optimized LiCaAlZn2 structure (GGA-PBE, the Alexandria database).

a = 4.358 Å, b = 4.358 Å, c = 6.136 Å
α = 110.80°, β = 110.80°, γ = 90.00°
Sites, in units of the cell vectors:
Zn (0.617, 0.617, 0.235)
Zn (0.383, 0.383, 0.765)
Ca (0.000, 0.000, 0.000)
Al (0.750, 0.250, 0.500)
Li (0.250, 0.750, 0.500)

Its space-group type is I-4m2, No. 119. Its formation energy is -216 meV per atom.


Record 23
# NaHgGe3

A geometry-optimized NaHgGe3 structure (GGA-PBE, the Alexandria database).

a = 5.329 Å, b = 5.329 Å, c = 5.329 Å
α = 90.00°, β = 90.00°, γ = 90.00°
Sites, in units of the cell vectors:
Ge (0.500, 0.000, 0.000)
Ge (0.000, 0.500, 0.000)
Ge (0.000, 0.000, 0.500)
Hg (0.000, 0.000, 0.000)
Na (0.500, 0.500, 0.500)

Its space-group type is Pm-3m, No. 221. For the energy above the lowest structure with this stoichiometry, the calculation gives 0.000 eV/atom. Its formation energy is 638 meV per atom.


Record 24
# RbMg4H8

A geometry-optimized RbMg4H8 structure (GGA-PBE, the Alexandria database).

a = 6.371 Å, b = 6.371 Å, c = 6.371 Å
α = 60.00°, β = 60.00°, γ = 60.00°
Sites, in units of the cell vectors:
Mg (0.877, 0.374, 0.374)
Mg (0.374, 0.374, 0.877)
Mg (0.374, 0.374, 0.374)
Mg (0.374, 0.877, 0.374)
H (0.593, 0.593, 0.222)
H (0.148, 0.556, 0.148)
H (0.593, 0.593, 0.593)
H (0.556, 0.148, 0.148)
H (0.593, 0.222, 0.593)
H (0.148, 0.148, 0.148)
H (0.148, 0.148, 0.556)
H (0.222, 0.593, 0.593)
Rb (0.750, 0.750, 0.750)

Its space-group type is F-43m, No. 216. The total energy comes out at -2.66 eV/atom.